(1)
La4CdHg3 | PBE | optimized geometry

Structure (POSCAR):
```
La4CdHg3
1.0
-2.768 2.768 7.838
2.768 -2.768 7.838
2.768 2.768 -7.838
La Cd Hg
4 1 3
Direct
0.126 0.626 0.500
0.374 0.874 0.500
0.626 0.126 0.500
0.874 0.374 0.500
0.000 0.000 0.000
0.249 0.249 0.000
0.500 0.500 0.000
0.751 0.751 0.000
```

Calculated values
Its electronic total energy is -0.1158 hartree per atom. As for the calculated density: 8.78 g/cm³. The total moment comes out at 1.6 μB per formula unit. As for the formation energy from the elements: -3.7 eV/f.u.



(2)
ZrZnOs2W | PBE | optimized geometry

Structure (POSCAR):
```
ZrZnOs2W
1.0
4.722 0.000 0.000
0.000 4.722 0.000
0.000 0.000 4.730
Zr Zn Os W
1 1 2 1
Direct
0.000 0.000 0.000
0.000 0.000 0.500
0.000 0.500 0.000
0.500 0.000 0.000
0.500 0.500 0.500
```

Calculated values
Its electronic total energy is -0.2415 hartree per atom. As for the calculated density: 11.35 g/cm³. The total moment comes out at 0.0 μB per formula unit. As for the formation energy from the elements: 12.4 eV/f.u.



(3)
Mn3Pd2Au | PBE | optimized geometry

Structure (POSCAR):
```
Mn3Pd2Au
1.0
3.159 0.000 0.000
0.000 3.159 0.000
0.000 0.000 9.431
Mn Pd Au
3 2 1
Direct
0.000 0.000 0.000
0.000 0.000 0.326
0.000 0.000 0.674
0.500 0.500 0.163
0.500 0.500 0.837
0.500 0.500 0.500
```

Calculated values
Its electronic total energy is -0.2567 hartree per atom. As for the calculated density: 10.14 g/cm³. The total moment comes out at 12.9 μB per formula unit. As for the formation energy from the elements: -0.7 eV/f.u.